The following is a DFT calculation (PBE+U) of an optimized crystal structure of BaHoCo2O6.

The structure in POSCAR format:
```
BaHoCo2O6
1.0
3.8194 0.0000 0.0000
0.0000 3.8194 0.0000
0.0000 0.0000 7.8653
Ba Ho Co O
1 1 2 6
direct
0.0000 0.0000 0.0000
0.0000 0.0000 0.5000
0.5000 0.5000 0.2552
0.5000 0.5000 0.7448
0.0000 0.5000 0.2873
0.0000 0.5000 0.7127
0.5000 0.0000 0.2873
0.5000 0.0000 0.7127
0.5000 0.5000 0.0000
0.5000 0.5000 0.5000
```

Output
**Space-group type**: No. 123
**Total magnetization**: 3.03 Bohr magnetons per cell
**Total energy**: -64.59 eV per cell
**DOS(E_F)**: 0.277 states/eV/atom